This record from Alexandria describes an optimized crystal structure of ScZn2Pd2. The functional is PBE.

Unit cell a=7.0764 b=7.0764 c=3.3080 alpha=90.00 beta=90.00 gamma=90.00
Sites, in units of the cell vectors:
Sc 0.0000 0.0000 0.0000
Sc 0.5000 0.5000 0.0000
Zn 0.1526 0.3474 0.5000
Zn 0.3474 0.8474 0.5000
Zn 0.6526 0.1526 0.5000
Zn 0.8474 0.6526 0.5000
Pd 0.1436 0.6436 0.0000
Pd 0.3564 0.1436 0.0000
Pd 0.6436 0.8564 0.0000
Pd 0.8564 0.3564 0.0000

total moment	0.00	Bohr magnetons per cell
density of states at the Fermi level	2.7	states/eV/f.u.
crystal system	tetragonal
ΔH_f (0 K)	-0.536	eV per atom
offset from the most stable computed form	46	kJ/mol of formula units